The following is a DFT calculation (PBE-GGA) of a relaxed structure of NaLiCo3.

a = 4.163 Å, b = 4.163 Å, c = 4.163 Å
α = 90.00°, β = 90.00°, γ = 90.00°
Last column: magnetic moment on the atom in μB.
Positions (direct):
Co  0.000  0.500  0.000  1.81
Li  0.000  0.000  0.000  -0.09
Na  0.500  0.500  0.500  -0.02
Co  0.000  0.000  0.500  1.81
Co  0.500  0.000  0.000  1.31

The space group is Pm-3m (221). The formation enthalpy at 0 K is 1156 meV per atom. Its calculated total energy is -18.77 eV for the cell shown. Its energy above the lowest structure with this stoichiometry is 0 meV/atom. For the density, the calculation gives 4.8 Mg/m³. The crystal system is cubic.

***

The following is a DFT calculation (PBE-GGA) of a relaxed structure of Na2Li2Co.

a = 3.949 Å, b = 3.949 Å, c = 7.521 Å
α = 74.78°, β = 74.78°, γ = 90.00°
Last column: magnetic moment on the atom in μB.
Positions (direct):
Na  0.750  0.250  0.500  0.00
Na  0.250  0.750  0.500  0.00
Li  0.581  0.581  0.839  0.05
Li  0.419  0.419  0.161  0.05
Co  0.000  0.000  0.000  -1.91

The space group is I4/mmm (139). The formation enthalpy at 0 K is 690 meV per atom. Its calculated total energy is -10.12 eV for the cell shown. Its energy above the lowest structure with this stoichiometry is 225 meV/atom. For the density, the calculation gives 1.8 Mg/m³. The crystal system is tetragonal.

***

The following is a DFT calculation (PBE-GGA) of a relaxed structure of Na2LiCo.

a = 8.013 Å, b = 8.013 Å, c = 6.348 Å
α = 50.87°, β = 50.87°, γ = 90.00°
Last column: magnetic moment on the atom in μB.
Positions (direct):
Na  0.633  0.125  0.250  -0.01
Li  0.250  0.750  0.500  -0.03
Li  0.500  0.500  0.000  -0.03
Na  0.875  0.883  0.750  -0.01
Co  0.750  0.250  0.500  1.83
Na  0.375  0.367  0.750  -0.01
Na  0.117  0.625  0.250  -0.01
Co  0.000  0.000  0.000  1.83

The space group is I-42d (122). The formation enthalpy at 0 K is 728 meV per atom. Its calculated total energy is -17.49 eV for the cell shown. Its energy above the lowest structure with this stoichiometry is 77 meV/atom. For the density, the calculation gives 2.0 Mg/m³. The crystal system is tetragonal.